(1)
An optimized crystal structure of ZnGePb3, computed with PBE.

Output
The density of states at the Fermi level comes out at 0.79 states/eV per atom. For the total moment, the calculation gives 0.0 μB/f.u. The volume is 154.4 Å³/f.u. Its formation energy is 505 meV/atom. The calculated total energy comes out at -2.898 eV/atom.

abc: 5.3650 5.3650 5.3650
angles: 90.00 90.00 90.00
Last column: nearest neighbours and their distance in Å.
Space group Pm-3m (No. 221)
One atom of each set of equivalent atoms:
Zn: 0.0000 0.0000 0.0000 (multiplicity 1)  6 Pb 2.68
Ge: 0.5000 0.5000 0.5000 (multiplicity 1)  12 Pb 3.79
Pb: 0.0000 0.0000 0.5000 (multiplicity 3)  2 Zn 2.68


(2)
An optimized crystal structure of MnCoTcHOs, computed with PBE.

Output
The density of states at the Fermi level comes out at 1.00 states/eV per atom. For the total moment, the calculation gives 2.0 μB/f.u. The volume is 53.4 Å³/f.u. The calculated total energy comes out at -8.185 eV/atom.

abc: 2.7025 3.7223 5.3119
angles: 90.00 90.00 90.00
Last column: nearest neighbours and their distance in Å.
Space group Pmm2 (No. 25)
One atom of each set of equivalent atoms:
Mn: 0.0000 0.0000 0.0000 (multiplicity 1)  2 H 1.86
Co: 0.5000 0.5000 0.7559 (multiplicity 1)  2 H 1.86
Tc: 0.0000 0.0000 0.4942 (multiplicity 1)  2 H 1.95
H: 0.5000 0.0000 0.7597 (multiplicity 1)  2 Mn 1.86, 2 Co 1.86, 2 Tc 1.95
Os: 0.5000 0.5000 0.2439 (multiplicity 1)  2 Co 2.59-2.72, 4 Mn 2.64, 4 Tc 2.66, 2 Os 2.70


(3)
An optimized crystal structure of SrVRe3, computed with PBE.

Output
The density of states at the Fermi level comes out at 1.10 states/eV per atom. For the total moment, the calculation gives 2.2 μB/f.u. The volume is 102.0 Å³/f.u. Its formation energy is 1360 meV/atom. The calculated total energy comes out at -8.269 eV/atom.

abc: 4.6722 4.6722 4.6722
angles: 90.00 90.00 90.00
Last column: nearest neighbours and their distance in Å.
Space group Pm-3m (No. 221)
One atom of each set of equivalent atoms:
Sr: 0.0000 0.0000 0.0000 (multiplicity 1)  12 Re 3.30
V: 0.5000 0.5000 0.5000 (multiplicity 1)  6 Re 2.34
Re: 0.0000 0.5000 0.5000 (multiplicity 3)  2 V 2.34


(4)
An optimized crystal structure of Li3Ac2Zn2, computed with PBE.

Output
The density of states at the Fermi level comes out at 0.77 states/eV per atom. For the total moment, the calculation gives 0.0 μB/f.u. The volume is 177.0 Å³/f.u. Its formation energy is -88 meV/atom. The calculated total energy comes out at -2.446 eV/atom.

abc: 11.1051 4.9394 7.1467
angles: 90.00 115.46 90.00
Last column: nearest neighbours and their distance in Å.
Space group C2/m (No. 12)
One atom of each set of equivalent atoms:
Li: 0.0000 0.0000 0.0000 (multiplicity 2)  2 Zn 2.63
Li: 0.1477 0.5000 0.2691 (multiplicity 4)  3 Zn 2.85-2.89, 2 Li 3.13
Ac: 0.1518 0.5000 0.7516 (multiplicity 4)  5 Li 3.27-3.49, 5 Zn 3.35-3.55
Zn: 0.0845 0.0000 0.4043 (multiplicity 4)  4 Li 2.63-2.89, 1 Zn 2.76


(5)
An optimized crystal structure of Pr2PO5, computed with PBE.

Output
The density of states at the Fermi level comes out at 0.13 states/eV per atom. For the total moment, the calculation gives 0.8 μB/f.u. The volume is 116.8 Å³/f.u. The calculated total energy comes out at -7.765 eV/atom. As for the formation energy (no corrections): -2.795 eV/atom.

abc: 4.3149 10.1967 10.6180
angles: 90.00 90.05 90.00
Last column: nearest neighbours and their distance in Å.
Space group Pc (No. 7)
One atom of each set of equivalent atoms:
Pr: 0.0000 0.0762 0.0000 (multiplicity 2)  4 O 2.39-2.63
Pr: 0.0049 0.3014 0.5835 (multiplicity 2)  4 O 2.28-2.53
Pr: 0.4661 0.1984 0.3156 (multiplicity 2)  4 O 2.28-2.53
Pr: 0.4714 0.4244 0.8984 (multiplicity 2)  4 O 2.39-2.63
P: 0.5848 0.0940 0.7318 (multiplicity 2)  4 O 1.54-1.57
P: 0.8854 0.4061 0.1676 (multiplicity 2)  4 O 1.54-1.57
O: 0.4735 0.0115 0.1340 (multiplicity 2)  1 P 1.57
O: 0.4769 0.2375 0.7080 (multiplicity 2)  1 P 1.56
O: 0.4815 0.3539 0.4703 (multiplicity 2)  3 Pr 2.28-2.44
O: 0.4937 0.0435 0.8655 (multiplicity 2)  1 P 1.56
O: 0.5292 0.4064 0.1797 (multiplicity 2)  1 P 1.54
O: 0.9411 0.0940 0.7205 (multiplicity 2)  1 P 1.54
O: 0.9758 0.4567 0.0339 (multiplicity 2)  1 P 1.56
O: 0.9881 0.1458 0.4291 (multiplicity 2)  3 Pr 2.28-2.45
O: 0.9930 0.2626 0.1915 (multiplicity 2)  1 P 1.56
O: 0.9969 0.4883 0.7655 (multiplicity 2)  1 P 1.57


(6)
An optimized crystal structure of HgPW2, computed with PBE.

Output
The density of states at the Fermi level comes out at 0.46 states/eV per atom. For the total moment, the calculation gives 0.0 μB/f.u. The volume is 71.5 Å³/f.u. Its formation energy is 927 meV/atom. The calculated total energy comes out at -6.978 eV/atom.

abc: 3.8512 3.8512 19.2794
angles: 90.00 90.00 90.00
Last column: nearest neighbours and their distance in Å.
Space group I-42d (No. 122)
One atom of each set of equivalent atoms:
Hg: 0.0000 0.0000 0.0000 (multiplicity 4)  4 P 2.72, 4 W 2.81
P: 0.0000 0.0000 0.5000 (multiplicity 4)  4 Hg 2.72, 4 W 2.73
W: 0.2222 0.2500 0.6250 (multiplicity 8)  4 W 2.58-2.88, 2 P 2.73, 2 Hg 2.81


(7)
An optimized crystal structure of FeSeCl2, computed with PBE.

Output
The density of states at the Fermi level comes out at 0.62 states/eV per atom. For the total moment, the calculation gives 4.0 μB/f.u. The volume is 98.5 Å³/f.u. The calculated total energy comes out at -3.999 eV/atom. As for the formation energy (no corrections): -0.089 eV/atom.

abc: 2.9728 2.9728 11.1432
angles: 90.00 90.00 90.00
Last column: nearest neighbours and their distance in Å.
Space group P4/mmm (No. 123)
One atom of each set of equivalent atoms:
Fe: 0.0000 0.0000 0.0000 (multiplicity 1)  8 Cl 2.59
Se: 0.0000 0.0000 0.5000 (multiplicity 1)  4 Se 2.97
Cl: 0.5000 0.5000 0.1361 (multiplicity 2)  4 Fe 2.59


(8)
An optimized crystal structure of TmNiRh, computed with PBE.

Output
The density of states at the Fermi level comes out at 1.05 states/eV per atom. For the total moment, the calculation gives 0.0 μB/f.u. The volume is 48.9 Å³/f.u. Its formation energy is -660 meV/atom. The calculated total energy comes out at -6.528 eV/atom.

abc: 4.9885 5.3868 7.2844
angles: 90.00 90.00 90.00
Last column: nearest neighbours and their distance in Å.
Space group Imma (No. 74)
One atom of each set of equivalent atoms:
Tm: 0.0000 0.2500 0.1201 (multiplicity 4)  6 Rh 2.97-3.08, 6 Ni 2.97-3.12, 4 Tm 3.13-3.21
Ni: 0.2500 0.2500 0.7500 (multiplicity 4)  2 Ni 2.49, 4 Rh 2.59
Rh: 0.0000 0.0000 0.5000 (multiplicity 4)  4 Ni 2.59, 2 Rh 2.69